Record 1
Entry from Alexandria: Tc3IrRh2 after structural relaxation (GGA-PBE).

Cell: 4.8986 5.4173 7.2607 Å, 111.90 90.00 90.00°
Last column: nearest neighbours and their distance in Å.
Fractional positions:
Tc 0.2500 0.1486 0.2973  6 Tc 2.60-2.85, 4 Rh 2.70, 2 Ir 2.71
Rh 0.5000 0.2456 0.0000  3 Rh 2.45-2.66, 2 Tc 2.70, 2 Ir 2.71
Rh 0.0000 0.7544 0.0000  3 Rh 2.45-2.66, 2 Tc 2.70, 2 Ir 2.71
Ir 0.2500 0.6478 0.2957  8 Tc 2.62-2.84, 4 Rh 2.71
Ir 0.7500 0.3522 0.7043  8 Tc 2.62-2.84, 4 Rh 2.71
Rh 0.5000 0.7544 0.0000  3 Rh 2.45-2.66, 2 Tc 2.70, 2 Ir 2.71
Tc 0.7500 0.4373 0.3721  5 Tc 2.60-2.85, 3 Ir 2.62-2.84, 2 Rh 2.79
Tc 0.2500 0.5627 0.6279  5 Tc 2.60-2.85, 3 Ir 2.62-2.84, 2 Rh 2.79
Tc 0.7500 0.8514 0.7027  6 Tc 2.60-2.85, 4 Rh 2.70, 2 Ir 2.71
Rh 0.0000 0.2456 0.0000  3 Rh 2.45-2.66, 2 Tc 2.70, 2 Ir 2.71
Tc 0.2500 0.0652 0.6279  5 Tc 2.60-2.85, 3 Ir 2.62-2.84, 2 Rh 2.79
Tc 0.7500 0.9348 0.3721  5 Tc 2.60-2.85, 3 Ir 2.62-2.84, 2 Rh 2.79

- Symmetry: Cmcm


Record 2
Entry from Alexandria: Tc2IrRh after structural relaxation (GGA-PBE).

Cell: 2.7265 2.7265 7.8126 Å, 90.00 90.00 90.00°
Last column: nearest neighbours and their distance in Å.
Fractional positions:
Tc 0.5000 0.5000 0.2580  4 Ir 2.65, 8 Tc 2.73-2.83
Tc 0.0000 0.0000 0.9928  4 Rh 2.66, 8 Tc 2.73-2.83
Rh 0.5000 0.5000 0.7584  4 Tc 2.66, 4 Rh 2.73, 4 Ir 2.84
Ir 0.0000 0.0000 0.4909  4 Tc 2.65, 4 Ir 2.73, 4 Rh 2.84

- ΔE to the lowest computed polymorph: 152 meV/atom
- Symmetry: P4mm


Record 3
Entry from Alexandria: Tc2IrRh2 after structural relaxation (GGA-PBE).

Cell: 7.3758 7.3758 2.7422 Å, 90.00 90.00 90.00°
Last column: nearest neighbours and their distance in Å.
Fractional positions:
Rh 0.6242 0.1242 0.0000  6 Tc 2.52-2.61, 3 Rh 2.59-2.74
Rh 0.3758 0.8758 0.0000  6 Tc 2.52-2.61, 3 Rh 2.59-2.74
Tc 0.1736 0.6736 0.5000  6 Rh 2.52-2.61, 2 Tc 2.74
Tc 0.6736 0.8264 0.5000  6 Rh 2.52-2.61, 2 Tc 2.74
Tc 0.3264 0.1736 0.5000  6 Rh 2.52-2.61, 2 Tc 2.74
Ir 0.5000 0.5000 0.0000  2 Ir 2.74, 4 Rh 2.92, 8 Tc 3.05
Tc 0.8264 0.3264 0.5000  6 Rh 2.52-2.61, 2 Tc 2.74
Rh 0.1242 0.3758 0.0000  6 Tc 2.52-2.61, 3 Rh 2.59-2.74
Ir 0.0000 0.0000 0.0000  2 Ir 2.74, 4 Rh 2.92, 8 Tc 3.05
Rh 0.8758 0.6242 0.0000  6 Tc 2.52-2.61, 3 Rh 2.59-2.74

- Symmetry: P4/mbm


Record 4
Entry from Alexandria: TcIr2Rh2 after structural relaxation (GGA-PBE).

Cell: 2.7264 3.8597 7.2194 Å, 105.50 100.83 90.00°
Last column: nearest neighbours and their distance in Å.
Fractional positions:
Tc 0.5000 0.5000 0.0000  8 Ir 2.71-2.72, 2 Tc 2.73, 2 Rh 2.73
Rh 0.7001 0.7001 0.4003  6 Rh 2.73, 1 Tc 2.73, 5 Ir 2.74-2.76
Rh 0.2999 0.2999 0.5997  6 Rh 2.73, 1 Tc 2.73, 5 Ir 2.74-2.76
Ir 0.0971 0.0979 0.1959  3 Ir 2.67-2.73, 4 Tc 2.71-2.72, 5 Rh 2.74-2.76
Ir 0.9029 0.9021 0.8041  3 Ir 2.67-2.73, 4 Tc 2.71-2.72, 5 Rh 2.74-2.76

- ΔE to the lowest computed polymorph: 0 meV/atom
- Symmetry: Immm


Record 5
Entry from Alexandria: TcIrRh after structural relaxation (GGA-PBE).

Cell: 4.7336 4.7336 4.7336 Å, 146.61 131.86 59.85°
Last column: nearest neighbours and their distance in Å.
Fractional positions:
Ir 0.0036 0.0036 0.0000  5 Rh 2.70-2.75, 5 Tc 2.70-2.79, 2 Ir 2.72
Tc 0.6640 0.6640 0.0000  5 Ir 2.70-2.79, 2 Tc 2.72, 5 Rh 2.72-2.74
Rh 0.3325 0.3325 0.0000  5 Ir 2.70-2.75, 2 Rh 2.72, 5 Tc 2.72-2.74

- ΔE to the lowest computed polymorph: 0 meV/atom
- Symmetry: Imm2


Record 6
Entry from Alexandria: TcIr4Rh3 after structural relaxation (GGA-PBE).

Cell: 4.6269 2.6979 10.1923 Å, 97.71 103.12 90.00°
Last column: nearest neighbours and their distance in Å.
Fractional positions:
Rh 0.2496 0.2472 0.4993  2 Ir 2.52-2.66, 6 Rh 2.67-2.70
Ir 0.3847 0.3854 0.7694  2 Tc 2.64, 1 Rh 2.66, 6 Ir 2.68-2.70
Rh 0.7504 0.7528 0.5007  2 Ir 2.52-2.66, 6 Rh 2.67-2.70
Tc 0.5000 0.0000 0.0000  4 Ir 2.64, 4 Rh 2.68, 2 Tc 2.70
Ir 0.6153 0.6146 0.2306  2 Tc 2.64, 1 Rh 2.66, 6 Ir 2.68-2.70
Rh 0.0000 0.5000 0.0000  4 Tc 2.68, 2 Rh 2.70, 4 Ir 2.74-2.75
Ir 0.8785 0.8788 0.7570  3 Rh 2.52-2.75, 6 Ir 2.68-2.70
Ir 0.1215 0.1212 0.2430  3 Rh 2.52-2.75, 6 Ir 2.68-2.70

- ΔE to the lowest computed polymorph: 177 meV/atom
- Symmetry: C2/m


Record 7
Entry from Alexandria: Tc3Ir2Rh6 after structural relaxation (GGA-PBE).

Cell: 4.7153 6.0877 11.2221 Å, 49.38 60.52 97.18°
Last column: nearest neighbours and their distance in Å.
Fractional positions:
Rh 0.8060 0.7102 0.5513  4 Tc 2.67-2.73, 6 Rh 2.67-2.85, 2 Ir 2.74-2.82
Ir 0.6495 0.4670 0.0845  2 Ir 2.68-2.74, 3 Tc 2.68-2.75, 7 Rh 2.70-2.82
Ir 0.3505 0.5330 0.9155  2 Ir 2.68-2.74, 3 Tc 2.68-2.75, 7 Rh 2.70-2.82
Rh 0.2702 0.9067 0.1831  5 Rh 2.67-2.76, 2 Ir 2.70-2.77, 5 Tc 2.71-2.73
Rh 0.0970 0.6398 0.7256  3 Ir 2.70-2.76, 6 Rh 2.70-2.77, 3 Tc 2.71-2.72
Tc 0.5476 0.8193 0.3628  8 Rh 2.67-2.73, 2 Ir 2.68-2.75, 2 Tc 2.71-2.72
Rh 0.7298 0.0933 0.8169  5 Rh 2.67-2.76, 2 Ir 2.70-2.77, 5 Tc 2.71-2.73
Tc 0.4524 0.1807 0.6372  8 Rh 2.67-2.73, 2 Ir 2.68-2.75, 2 Tc 2.71-2.72
Tc 0.0000 0.0000 0.0000  8 Rh 2.68-2.72, 2 Ir 2.70, 2 Tc 2.71
Rh 0.9030 0.3602 0.2744  3 Ir 2.70-2.76, 6 Rh 2.70-2.77, 3 Tc 2.71-2.72
Rh 0.1940 0.2898 0.4487  4 Tc 2.67-2.73, 6 Rh 2.67-2.85, 2 Ir 2.74-2.82

- Symmetry: P-1


Record 8
Entry from Alexandria: Tc2Ir3Rh3 after structural relaxation (GGA-PBE).

Cell: 3.8781 3.8557 7.6757 Å, 90.00 90.00 90.00°
Last column: nearest neighbours and their distance in Å.
Fractional positions:
Tc 0.0000 0.0000 0.7503  6 Ir 2.72-2.73, 6 Rh 2.73
Tc 0.0000 0.0000 0.2497  6 Ir 2.72-2.73, 6 Rh 2.73
Ir 0.5000 0.0000 0.5000  4 Rh 2.72, 4 Tc 2.73, 4 Ir 2.73
Rh 0.5000 0.5000 0.7493  6 Ir 2.72-2.73, 2 Rh 2.72, 4 Tc 2.73
Ir 0.0000 0.5000 0.5000  4 Tc 2.72, 4 Rh 2.72, 4 Ir 2.73
Rh 0.5000 0.0000 0.0000  4 Rh 2.72, 4 Tc 2.73, 4 Ir 2.73
Ir 0.0000 0.5000 0.0000  4 Tc 2.72, 8 Rh 2.73
Rh 0.5000 0.5000 0.2507  6 Ir 2.72-2.73, 2 Rh 2.72, 4 Tc 2.73

- ΔE to the lowest computed polymorph: 0 meV/atom
- Symmetry: Pmmm


no.,E_form (kJ/mol of formula units)
1,86
2,-31
3,99
4,-47
5,-39
6,307
7,-91
8,-59